No. 1
First-principles (PBE) data for a relaxed structure of AcBeBiO4, as listed in Alexandria via LeMat-Bulk.

abc: 5.7607 5.4587 7.1597
angles: 90.00 113.67 90.00
Last column: nearest neighbours and their distance in Å.
Fractional positions:
Ac: 0.2141 0.2500 0.4521  6 O 2.55-2.69
Ac: 0.7859 0.7500 0.5479  6 O 2.55-2.69
Be: 0.2441 0.7500 0.2052  4 O 1.63-1.71
Be: 0.7559 0.2500 0.7948  4 O 1.63-1.71
Bi: 0.2860 0.2500 0.0065  3 O 2.17-2.24
Bi: 0.7140 0.7500 0.9935  3 O 2.17-2.24
O: 0.0566 0.7500 0.3399  1 Be 1.71
O: 0.0676 0.7500 0.9528  1 Be 1.68
O: 0.4309 0.5111 0.2692  1 Be 1.63
O: 0.4309 0.9889 0.2692  1 Be 1.63
O: 0.5691 0.0111 0.7308  1 Be 1.63
O: 0.5691 0.4889 0.7308  1 Be 1.63
O: 0.9324 0.2500 0.0472  1 Be 1.68
O: 0.9434 0.2500 0.6601  1 Be 1.71

Computed properties:
Formation energy (no corrections): -2.3656 eV per atom
D(E_F): 0.00 states/eV/cell
Space group: P2_1/m (11)

---

No. 2
First-principles (PBE) data for a relaxed structure of Ac2BeBiPd6, as listed in Alexandria via LeMat-Bulk.

abc: 6.1161 6.1161 7.6364
angles: 113.55 113.55 60.03
Last column: nearest neighbours and their distance in Å.
Fractional positions:
Ac: 0.2443 0.2443 0.2321  9 Pd 3.13-3.40
Ac: 0.7557 0.7557 0.7679  9 Pd 3.13-3.40
Be: 0.0000 0.0000 0.5000  6 Pd 2.18
Bi: 0.5000 0.5000 0.0000  6 Pd 2.80
Pd: 0.2314 0.2314 0.6693  1 Be 2.18
Pd: 0.2314 0.7044 0.6679  1 Be 2.18
Pd: 0.2956 0.7686 0.3321  1 Be 2.18
Pd: 0.7044 0.2314 0.6679  1 Be 2.18
Pd: 0.7686 0.2956 0.3321  1 Be 2.18
Pd: 0.7686 0.7686 0.3307  1 Be 2.18

Computed properties:
Total DFT energy (no corrections): -5.33 eV per atom
D(E_F): 6.10 states/eV/cell
Space group: C2/m (12)

---

No. 3
First-principles (PBE) data for a relaxed structure of AcBeBr2, as listed in Alexandria via LeMat-Bulk.

abc: 11.2767 11.2767 11.2767
angles: 20.99 20.99 20.99
Last column: nearest neighbours and their distance in Å.
Fractional positions:
Ac: 0.0000 0.0000 0.0000  6 Br 3.16
Be: 0.5000 0.5000 0.5000  2 Br 3.43
Br: 0.3963 0.3963 0.3963  3 Ac 3.16, 1 Be 3.43
Br: 0.6037 0.6037 0.6037  3 Ac 3.16, 1 Be 3.43

Computed properties:
Formation energy (no corrections): -0.3655 eV per atom
D(E_F): 1.84 states/eV/cell
Space group: R-3m (166)

---

No. 4
First-principles (PBE) data for a relaxed structure of AcBeBr, as listed in Alexandria via LeMat-Bulk.

abc: 12.0649 12.0649 12.0649
angles: 20.54 20.54 20.54
Last column: nearest neighbours and their distance in Å.
Fractional positions:
Ac: 0.0558 0.0558 0.0558  6 Be 3.16-3.18, 3 Br 3.22
Ac: 0.9442 0.9442 0.9442  6 Be 3.16-3.18, 3 Br 3.22
Be: 0.3338 0.3338 0.3338  3 Be 2.48
Be: 0.6662 0.6662 0.6662  3 Be 2.48
Br: 0.2197 0.2197 0.2197  3 Ac 3.22
Br: 0.7803 0.7803 0.7803  3 Ac 3.22

Computed properties:
Formation energy (no corrections): -0.7829 eV per atom
D(E_F): 2.41 states/eV/cell
Space group: R-3m (166)

---

No. 5
First-principles (PBE) data for a relaxed structure of AcBeBrF4, as listed in Alexandria via LeMat-Bulk.

abc: 6.4178 6.4178 6.9690
angles: 101.01 101.01 70.05
Last column: nearest neighbours and their distance in Å.
Fractional positions:
Ac: 0.2420 0.2420 0.1604  6 F 2.45-2.73
Ac: 0.7580 0.7580 0.8396  6 F 2.45-2.73
Be: 0.3689 0.3689 0.7445  4 F 1.54-1.62
Be: 0.6311 0.6311 0.2555  4 F 1.54-1.62
Br: 0.0334 0.0334 0.7561  2 Ac 3.08-3.14, 2 F 3.20
Br: 0.9666 0.9666 0.2439  2 Ac 3.08-3.14, 2 F 3.20
F: 0.1530 0.4900 0.8602  1 Be 1.62
F: 0.2995 0.2995 0.5229  1 Be 1.55
F: 0.4818 0.4818 0.2273  1 Be 1.54
F: 0.4900 0.1530 0.8602  1 Be 1.62
F: 0.5100 0.8470 0.1398  1 Be 1.62
F: 0.5182 0.5182 0.7727  1 Be 1.54
F: 0.7005 0.7005 0.4771  1 Be 1.55
F: 0.8470 0.5100 0.1398  1 Be 1.62

Computed properties:
Formation energy (no corrections): -3.3733 eV per atom
D(E_F): 0.00 states/eV/cell
Space group: C2/m (12)

---

No. 6
First-principles (PBE) data for a relaxed structure of AcBeC, as listed in Alexandria via LeMat-Bulk.

abc: 6.4688 5.5183 4.1230
angles: 82.92 57.84 39.24
Last column: nearest neighbours and their distance in Å.
Fractional positions:
Ac: 0.0000 0.0000 0.0000  1 Be 2.71, 3 C 2.88-2.92
Be: 0.7426 0.7426 0.2574  2 C 1.71
C: 0.2774 0.2774 0.7226  2 Be 1.71

Computed properties:
Total DFT energy (no corrections): -4.98 eV per atom
D(E_F): 1.48 states/eV/cell
Space group: Fmm2 (42)

---

No. 7
First-principles (PBE) data for a relaxed structure of Ac3BeC2N6, as listed in Alexandria via LeMat-Bulk.

abc: 5.3715 5.3715 6.8558
angles: 90.00 90.00 120.00
Last column: nearest neighbours and their distance in Å.
Fractional positions:
Ac: 0.0000 0.0000 0.0000  6 N 2.67
Ac: 0.3333 0.6667 0.6743  1 C 2.63, 9 N 2.70-2.92
Ac: 0.6667 0.3333 0.3257  1 C 2.63, 9 N 2.70-2.92
Be: 0.0000 0.0000 0.5000  6 N 2.19
C: 0.3333 0.6667 0.2914  3 N 1.39
C: 0.6667 0.3333 0.7086  3 N 1.39
N: 0.1839 0.3678 0.2998  1 C 1.39
N: 0.1839 0.8161 0.2998  1 C 1.39
N: 0.3678 0.1839 0.7002  1 C 1.39
N: 0.6322 0.8161 0.2998  1 C 1.39
N: 0.8161 0.1839 0.7002  1 C 1.39
N: 0.8161 0.6322 0.7002  1 C 1.39

Computed properties:
Formation energy (no corrections): -0.5362 eV per atom
D(E_F): 0.96 states/eV/cell
Space group: P-3m1 (164)

---

No. 8
First-principles (PBE) data for a relaxed structure of AcBeC2O8, as listed in Alexandria via LeMat-Bulk.

abc: 4.6186 4.6186 7.1553
angles: 104.19 104.19 55.94
Last column: nearest neighbours and their distance in Å.
Fractional positions:
Ac: 0.0000 0.0000 0.0000  8 O 2.64-2.70
Be: 0.5000 0.5000 0.5000  4 O 1.74
C: 0.1985 0.1985 0.6948  4 O 1.37-1.41
C: 0.8015 0.8015 0.3052  4 O 1.37-1.41
O: 0.1611 0.6765 0.3097  1 C 1.41
O: 0.2595 0.2595 0.5316  1 C 1.39
O: 0.3203 0.3203 0.8706  1 C 1.37
O: 0.3235 0.8389 0.6903  1 C 1.41
O: 0.6765 0.1611 0.3097  1 C 1.41
O: 0.6797 0.6797 0.1294  1 C 1.37
O: 0.7405 0.7405 0.4684  1 C 1.39
O: 0.8389 0.3235 0.6903  1 C 1.41

Computed properties:
Formation energy (no corrections): -1.4722 eV per atom
D(E_F): 3.07 states/eV/cell
Space group: C2/m (12)

---

No. 9
First-principles (PBE) data for a relaxed structure of AcBe2Ru2C, as listed in Alexandria via LeMat-Bulk.

abc: 4.0585 4.0585 5.6370
angles: 90.00 90.00 90.00
Last column: nearest neighbours and their distance in Å.
Fractional positions:
Ac: 0.0000 0.0000 0.0000  2 C 2.82
Be: 0.5000 0.5000 0.2775  4 Ru 2.39, 1 Be 2.51
Be: 0.5000 0.5000 0.7225  4 Ru 2.39, 1 Be 2.51
Ru: 0.0000 0.5000 0.5000  2 C 2.03
Ru: 0.5000 0.0000 0.5000  2 C 2.03
C: 0.0000 0.0000 0.5000  4 Ru 2.03

Computed properties:
Total DFT energy (no corrections): -6.76 eV per atom
D(E_F): 2.03 states/eV/cell
Space group: P4/mmm (123)

---

No. 10
First-principles (PBE) data for a relaxed structure of Ac2Be2Ru2C, as listed in Alexandria via LeMat-Bulk.

abc: 6.1236 6.1236 7.4503
angles: 127.01 127.01 40.14
Last column: nearest neighbours and their distance in Å.
Fractional positions:
Ac: 0.0604 0.0604 0.3085  2 C 2.85
Ac: 0.9396 0.9396 0.6915  2 C 2.85
Be: 0.2947 0.2947 0.2111  3 Ru 2.29
Be: 0.7053 0.7053 0.7889  3 Ru 2.29
Ru: 0.3049 0.3049 0.9134  1 C 1.90
Ru: 0.6951 0.6951 0.0866  1 C 1.90
C: 0.5000 0.5000 0.0000  2 Ru 1.90

Computed properties:
Total DFT energy (no corrections): -6.35 eV per atom
D(E_F): 5.88 states/eV/cell
Space group: C2/m (12)

---

No. 11
First-principles (PBE) data for a relaxed structure of CaAcBeN2, as listed in Alexandria via LeMat-Bulk.

abc: 5.9639 4.2550 6.8574
angles: 90.00 104.74 90.00
Last column: nearest neighbours and their distance in Å.
Fractional positions:
Ca: 0.0000 0.0438 0.2500  4 N 2.44-2.52, 2 Be 2.59
Ca: 0.0000 0.9562 0.7500  4 N 2.44-2.52, 2 Be 2.59
Ac: 0.5000 0.2929 0.7500  4 N 2.66-2.79
Ac: 0.5000 0.7071 0.2500  4 N 2.66-2.79
Be: 0.0000 0.5000 0.0000  2 N 1.57
Be: 0.0000 0.5000 0.5000  2 N 1.57
N: 0.2203 0.2892 0.0206  1 Be 1.57
N: 0.2203 0.7108 0.5206  1 Be 1.57
N: 0.7797 0.2892 0.4794  1 Be 1.57
N: 0.7797 0.7108 0.9794  1 Be 1.57

Computed properties:
Formation energy (no corrections): -0.7088 eV per atom
D(E_F): 3.62 states/eV/cell
Space group: P2/c (13)

---

The records above give, respectively, calculated density values of 8.20, 9.91, 4.08, 5.55, 4.96, 6.21, 7.74, 5.30, 8.21, 8.24, 6.00 g cm⁻³.
The records above give, respectively, magnetization values of 0.0, 0.0, 0.0, 0.0, 0.0, 0.0, 0.0, 1.0, 0.0, 0.0, 0.0 μB/f.u..